1.
PrSm3Al2: relaxed, PBE.

a b c (Å): 5.295 9.189 9.171
angles (deg): 124.24 90.00 106.74
Element x y z (fractional)
Pr 0.130 0.260 0.075
Sm 0.618 0.237 0.707
Al 0.232 0.464 0.865
Sm 0.938 0.875 0.591
Al 0.768 0.536 0.135
Sm 0.313 0.625 0.624
Pr 0.870 0.740 0.925
Sm 0.687 0.375 0.376
Sm 0.382 0.763 0.293
Al 0.480 0.960 0.114
Sm 0.062 0.125 0.409
Al 0.520 0.040 0.886

Calculated values
**Formation enthalpy at 0 K**: -0.169 eV/atom
**ρ**: 6.20 Mg/m³
**Volume**: 345.8 Å³ per cell
**Electronic total energy**: -27.43 eV/f.u.



2.
PrSm3Al2: relaxed, PBE.

a b c (Å): 5.224 6.692 9.811
angles (deg): 90.00 90.00 90.00
Element x y z (fractional)
Sm 0.000 0.314 0.323
Al 0.500 0.708 0.855
Pr 0.500 0.530 0.545
Sm 0.000 0.972 0.047
Al 0.500 0.208 0.145
Pr 0.500 0.030 0.455
Al 0.000 0.791 0.352
Sm 0.000 0.814 0.677
Al 0.000 0.291 0.648
Sm 0.500 0.186 0.828
Sm 0.000 0.472 0.953
Sm 0.500 0.686 0.172

Calculated values
**Formation enthalpy at 0 K**: -0.250 eV/atom
**ρ**: 6.25 Mg/m³
**Volume**: 343.0 Å³ per cell
**Electronic total energy**: -27.92 eV/f.u.



3.
PrSm5Al3: relaxed, PBE.

a b c (Å): 6.821 9.276 9.275
angles (deg): 120.00 90.00 90.00
Element x y z (fractional)
Sm 0.750 0.668 0.669
Al 0.750 0.338 0.338
Sm 0.250 0.668 0.000
Al 0.750 0.662 0.000
Sm 0.750 0.000 0.331
Sm 0.500 0.667 0.334
Sm 0.000 0.333 0.666
Sm 0.250 0.000 0.669
Sm 0.500 0.333 0.666
Sm 0.750 0.332 0.000
Al 0.750 0.000 0.662
Sm 0.250 0.332 0.331
Al 0.250 0.338 0.000
Pr 0.500 0.000 0.000
Al 0.250 0.000 0.338
Sm 0.000 0.667 0.334
Pr 0.000 0.000 0.000
Al 0.250 0.662 0.662

Calculated values
**Formation enthalpy at 0 K**: -0.227 eV/atom
**ρ**: 6.36 Mg/m³
**Volume**: 508.2 Å³ per cell
**Electronic total energy**: -41.65 eV/f.u.



4.
PrSm4Al5: relaxed, PBE.

a b c (Å): 3.698 3.698 18.441
angles (deg): 90.00 90.00 90.00
Element x y z (fractional)
Sm 0.000 0.000 0.797
Al 0.500 0.500 0.105
Sm 0.000 0.000 0.599
Sm 0.000 0.000 0.401
Al 0.500 0.500 0.895
Sm 0.000 0.000 0.203
Al 0.500 0.500 0.698
Pr 0.000 0.000 0.000
Al 0.500 0.500 0.302
Al 0.500 0.500 0.500

Calculated values
**Formation enthalpy at 0 K**: -0.367 eV/atom
**ρ**: 5.78 Mg/m³
**Volume**: 252.1 Å³ per cell
**Electronic total energy**: -46.04 eV/f.u.



5.
PrSm5Al6: relaxed, PBE.

a b c (Å): 5.213 7.411 8.248
angles (deg): 90.00 71.58 90.00
Element x y z (fractional)
Al 0.168 0.747 0.663
Al 0.500 0.252 0.000
Al 0.832 0.253 0.337
Al 0.168 0.253 0.663
Pr 0.000 0.000 0.000
Sm 0.333 0.000 0.334
Sm 0.667 0.000 0.666
Sm 0.000 0.500 0.000
Al 0.500 0.748 0.000
Sm 0.665 0.500 0.670
Al 0.832 0.747 0.337
Sm 0.335 0.500 0.330

Calculated values
**Formation enthalpy at 0 K**: -0.366 eV/atom
**ρ**: 5.79 Mg/m³
**Volume**: 302.4 Å³ per cell
**Electronic total energy**: -55.23 eV/f.u.



6.
Pr2SmAl6: relaxed, PBE.

a b c (Å): 3.777 7.959 7.959
angles (deg): 120.00 90.00 90.00
Element x y z (fractional)
Pr 0.000 0.667 0.333
Al 0.500 0.668 0.668
Al 0.500 0.000 0.332
Al 0.500 0.668 0.000
Al 0.500 0.332 0.332
Al 0.500 0.332 0.000
Sm 0.000 0.000 0.000
Pr 0.000 0.333 0.667
Al 0.500 0.000 0.668

Calculated values
**Formation enthalpy at 0 K**: -0.472 eV/atom
**ρ**: 4.76 Mg/m³
**Volume**: 207.2 Å³ per cell
**Electronic total energy**: -40.98 eV/f.u.



7.
Pr4SmAl4: relaxed, PBE.

a b c (Å): 6.125 8.975 8.975
angles (deg): 90.00 90.00 90.00
Element x y z (fractional)
Pr 0.621 0.172 0.426
Pr 0.121 0.074 0.672
Al 0.401 0.813 0.910
Al 0.599 0.910 0.187
Pr 0.121 0.926 0.328
Al 0.099 0.687 0.590
Pr 0.879 0.672 0.926
Al 0.901 0.590 0.313
Pr 0.379 0.574 0.172
Al 0.599 0.090 0.813
Al 0.401 0.187 0.090
Pr 0.879 0.328 0.074
Pr 0.621 0.828 0.574
Sm 0.500 0.500 0.500
Al 0.901 0.410 0.687
Pr 0.379 0.426 0.828
Al 0.099 0.313 0.410
Sm 0.000 0.000 0.000

Calculated values
**Formation enthalpy at 0 K**: -0.142 eV/atom
**ρ**: 5.53 Mg/m³
**Volume**: 493.4 Å³ per cell
**Electronic total energy**: -40.08 eV/f.u.



8.
PrSm12Al3: relaxed, PBE.

a b c (Å): 4.887 4.887 20.047
angles (deg): 90.00 90.00 90.00
Element x y z (fractional)
Sm 0.500 0.500 0.000
Sm 0.500 0.000 0.621
Sm 0.500 0.500 0.260
Pr 0.000 0.000 0.000
Sm 0.000 0.500 0.379
Sm 0.500 0.000 0.379
Sm 0.500 0.500 0.500
Sm 0.500 0.000 0.137
Sm 0.000 0.500 0.621
Sm 0.000 0.500 0.863
Sm 0.500 0.000 0.863
Sm 0.500 0.500 0.740
Al 0.000 0.000 0.259
Al 0.000 0.000 0.741
Sm 0.000 0.500 0.137
Al 0.000 0.000 0.500

Calculated values
**Formation enthalpy at 0 K**: -0.111 eV/atom
**ρ**: 7.03 Mg/m³
**Volume**: 478.8 Å³ per cell
**Electronic total energy**: -74.41 eV/f.u.



9.
Pr2Sm6Al: relaxed, PBE.

a b c (Å): 3.579 9.600 10.024
angles (deg): 118.61 91.63 90.00
Element x y z (fractional)
Pr 0.524 0.326 0.653
Sm 0.010 0.007 0.674
Sm 0.500 0.279 0.000
Al 0.000 0.000 0.000
Sm 0.010 0.668 0.674
Sm 0.990 0.993 0.326
Sm 0.990 0.332 0.326
Sm 0.500 0.721 0.000
Pr 0.476 0.674 0.347

Calculated values
**Formation enthalpy at 0 K**: 0.076 eV/atom
**ρ**: 6.65 Mg/m³
**Volume**: 302.2 Å³ per cell
**Electronic total energy**: -40.93 eV/f.u.



10.
Pr2Sm2Al: relaxed, PBE.

a b c (Å): 6.056 6.056 6.172
angles (deg): 119.38 119.38 90.00
Element x y z (fractional)
Al 0.000 0.000 0.000
Pr 0.656 0.656 0.312
Sm 0.750 0.250 0.500
Sm 0.250 0.750 0.500
Pr 0.344 0.344 0.688

Calculated values
**Formation enthalpy at 0 K**: 0.577 eV/atom
**ρ**: 6.21 Mg/m³
**Volume**: 163.0 Å³ per cell
**Electronic total energy**: -19.85 eV/f.u.